First-principles (PBE+U) data for a relaxed VF5 crystal, as listed in Alexandria via LeMat-Bulk.

Output
Electronic total energy, eV per atom: -5.226
Volume, Å³/cell: 194.04

Lattice parameters (Å, degrees): 6.423 6.423 4.704 90.00 90.00 90.00
Element x y z (fractional)
F1 0.420 0.745 0.738
F2 0.080 0.755 0.262
F3 0.745 0.580 0.262
F4 0.255 0.420 0.262
F5 0.500 0.000 0.277
F6 0.245 0.080 0.738
F7 0.580 0.255 0.738
F8 0.000 0.500 0.723
F9 0.920 0.245 0.262
F10 0.755 0.920 0.738
V1 0.500 0.000 0.646
V2 0.000 0.500 0.354